Computed, not measured: crystalline Y2VAuCl at its relaxed geometry at the PBE-GGA level of DFT.

a b c (Å): 5.345 5.345 4.353
angles (deg): 90.00 90.00 90.00
Space group P4/mmm (No. 123)
One atom of each set of equivalent atoms:
Y1 0.000 0.500 0.000 [2 per cell]
V1 0.000 0.000 0.000 [1 per cell]
Au1 0.500 0.500 0.500 [1 per cell]
Cl1 0.000 0.000 0.500 [1 per cell]

total magnetization = 0.0 Bohr magnetons per cell
ΔE_f (raw) = 72.6 meV/atom
density = 6.159 g cm⁻³
E = -5.362 eV/atom


Computed, not measured: crystalline WAu2Cl at its relaxed geometry at the PBE-GGA level of DFT.

a b c (Å): 3.0485 3.0485 26.4997
angles (deg): 90.00 90.00 120.00
Space group R-3m (No. 166, hexagonal axes)
One atom of each set of equivalent atoms:
W1 0.0000 0.0000 0.0000 [3 per cell]
Au1 0.0000 0.0000 0.2513 [6 per cell]
Cl1 0.0000 0.0000 0.5000 [3 per cell]

total magnetization = 0.0 Bohr magnetons per cell
ΔE_f (raw) = 337.4 meV/atom
density = 14.323 g cm⁻³
E = -5.001 eV/atom
offset from the most stable computed form = 193 meV per atom


Computed, not measured: crystalline WAu2Cl at its relaxed geometry at the PBE-GGA level of DFT.

a b c (Å): 2.978 2.978 8.143
angles (deg): 90.00 90.00 90.00
Space group P4/mmm (No. 123)
One atom of each set of equivalent atoms:
W1 0.000 0.000 0.000 [1 per cell]
Au1 0.500 0.500 0.233 [2 per cell]
Cl1 0.000 0.000 0.500 [1 per cell]

total magnetization = 0.0 Bohr magnetons per cell
ΔE_f (raw) = 386.5 meV/atom
density = 14.101 g cm⁻³
E = -4.952 eV/atom
offset from the most stable computed form = 242 meV per atom


Computed, not measured: crystalline WAu2Cl at its relaxed geometry at the PBE-GGA level of DFT.

a b c (Å): 3.897 3.897 4.937
angles (deg): 90.00 90.00 90.00
Space group P4/mmm (No. 123)
One atom of each set of equivalent atoms:
W1 0.000 0.000 0.000 [1 per cell]
Au1 0.000 0.500 0.500 [2 per cell]
Cl1 0.500 0.500 0.000 [1 per cell]

total magnetization = 3.2 Bohr magnetons per cell
ΔE_f (raw) = 991.3 meV/atom
density = 13.578 g cm⁻³
E = -4.347 eV/atom
offset from the most stable computed form = 847 meV per atom


Computed, not measured: crystalline WAu2Cl at its relaxed geometry at the PBE-GGA level of DFT.

a b c (Å): 2.941 5.069 10.449
angles (deg): 90.00 90.00 90.00
Space group Cmm2 (No. 35)
One atom of each set of equivalent atoms:
W1 0.000 0.000 0.000 [2 per cell]
Au1 0.000 0.000 0.531 [2 per cell]
Au2 0.000 0.500 0.771 [2 per cell]
Cl1 0.000 0.500 0.188 [2 per cell]

total magnetization = 0.0 Bohr magnetons per cell
ΔE_f (raw) = 299.5 meV/atom
density = 13.075 g cm⁻³
E = -5.039 eV/atom
offset from the most stable computed form = 155 meV per atom


Computed, not measured: crystalline WAu2Cl at its relaxed geometry at the PBE-GGA level of DFT.

a b c (Å): 4.268 2.854 11.531
angles (deg): 90.00 90.00 90.00
Space group Amm2 (No. 38)
One atom of each set of equivalent atoms:
W1 0.000 0.000 0.000 [2 per cell]
Au1 0.000 0.000 0.259 [2 per cell]
Au2 0.500 0.000 0.634 [2 per cell]
Cl1 0.500 0.000 0.906 [2 per cell]

total magnetization = 0.0 Bohr magnetons per cell
ΔE_f (raw) = 425.1 meV/atom
density = 14.499 g cm⁻³
E = -4.914 eV/atom
offset from the most stable computed form = 281 meV per atom


Computed, not measured: crystalline WAu2Cl at its relaxed geometry at the PBE-GGA level of DFT.

a b c (Å): 3.142 4.990 9.119
angles (deg): 90.00 90.00 90.00
Space group Cmmm (No. 65)
One atom of each set of equivalent atoms:
W1 0.000 0.000 0.000 [2 per cell]
Au1 0.000 0.500 0.249 [4 per cell]
Cl1 0.000 0.000 0.500 [2 per cell]

total magnetization = 0.0 Bohr magnetons per cell
ΔE_f (raw) = 424.3 meV/atom
density = 14.246 g cm⁻³
E = -4.914 eV/atom
offset from the most stable computed form = 280 meV per atom


Computed, not measured: crystalline W2AuCl at its relaxed geometry at the PBE-GGA level of DFT.

a b c (Å): 5.650 9.402 2.768
angles (deg): 90.00 111.67 90.00
Space group C2/m (No. 12)
One atom of each set of equivalent atoms:
W1 0.250 0.250 0.000 [4 per cell]
Au1 0.000 0.000 0.500 [2 per cell]
Cl1 0.000 0.500 0.500 [2 per cell]

total magnetization = 0.0 Bohr magnetons per cell
ΔE_f (raw) = 1041.0 meV/atom
density = 14.583 g cm⁻³
E = -6.717 eV/atom
offset from the most stable computed form = 722 meV per atom


Computed, not measured: crystalline WAuCl4 at its relaxed geometry at the PBE-GGA level of DFT.

a b c (Å): 8.007 8.007 8.007
angles (deg): 90.00 90.00 90.00
Space group F-43m (No. 216)
One atom of each set of equivalent atoms:
W1 0.000 0.000 0.000 [4 per cell]
Au1 0.250 0.250 0.750 [4 per cell]
Cl1 0.125 0.125 0.375 [16 per cell]

total magnetization = 7.9 Bohr magnetons per cell
ΔE_f (raw) = 1455.4 meV/atom
density = 6.763 g cm⁻³
E = -2.481 eV/atom


Computed, not measured: crystalline WAu2Cl at its relaxed geometry at the PBE-GGA level of DFT.

a b c (Å): 5.202 5.202 2.746
angles (deg): 90.00 90.00 90.00
Space group P4/mmm (No. 123)
One atom of each set of equivalent atoms:
W1 0.000 0.000 0.000 [1 per cell]
Au1 0.000 0.500 0.500 [2 per cell]
Cl1 0.500 0.500 0.000 [1 per cell]

total magnetization = 0.0 Bohr magnetons per cell
ΔE_f (raw) = 888.3 meV/atom
density = 13.703 g cm⁻³
E = -4.450 eV/atom
offset from the most stable computed form = 744 meV per atom


Computed, not measured: crystalline WAu2Cl at its relaxed geometry at the PBE-GGA level of DFT.

a b c (Å): 2.860 4.592 13.840
angles (deg): 90.00 90.00 90.00
Space group Imm2 (No. 44)
One atom of each set of equivalent atoms:
W1 0.000 0.000 0.000 [2 per cell]
Au1 0.000 0.000 0.551 [2 per cell]
Au2 0.000 0.500 0.676 [2 per cell]
Cl1 0.000 0.500 0.359 [2 per cell]

total magnetization = 0.0 Bohr magnetons per cell
ΔE_f (raw) = 267.4 meV/atom
density = 11.203 g cm⁻³
E = -5.071 eV/atom
offset from the most stable computed form = 123 meV per atom


Computed, not measured: crystalline WAuCl3 at its relaxed geometry at the PBE-GGA level of DFT.

a b c (Å): 5.043 5.043 5.043
angles (deg): 90.00 90.00 90.00
Space group Pm-3m (No. 221)
One atom of each set of equivalent atoms:
W1 0.000 0.000 0.000 [1 per cell]
Au1 0.500 0.500 0.500 [1 per cell]
Cl1 0.000 0.500 0.500 [3 per cell]

total magnetization = 4.8 Bohr magnetons per cell
ΔE_f (raw) = 1103.7 meV/atom
density = 6.307 g cm⁻³
E = -3.250 eV/atom
offset from the most stable computed form = 781 meV per atom